Record 1
A plane-wave DFT calculation with GGA-PBE was carried out for a relaxed structure of ErAlGa4Ir.

Unit cell a=4.3337 b=4.3337 c=6.8041 alpha=90.00 beta=90.00 gamma=90.00
Space group P4/mmm (No. 123)
Asymmetric unit:
Er (0.0000, 0.0000, 0.0000) x1
Al (0.5000, 0.5000, 0.0000) x1
Ga (0.0000, 0.5000, 0.2993) x4
Ir (0.0000, 0.0000, 0.5000) x1

Output
As for the total energy: -0.173 Ha/atom. The calculation puts the total magnetic moment at 0.004 μB/cell. The density is 8.646 Mg/m³.

Record 2
A plane-wave DFT calculation with GGA-PBE was carried out for a relaxed structure of CuSiAgHgS4.

Unit cell a=5.6034 b=5.6034 c=10.8018 alpha=90.00 beta=90.00 gamma=90.00
Space group I-4 (No. 82)
Asymmetric unit:
Cu (0.0000, 0.0000, 0.0000) x2
Si (0.0000, 0.5000, 0.7500) x2
Ag (0.0000, 0.0000, 0.5000) x2
Hg (0.0000, 0.5000, 0.2500) x2
S (0.1968, 0.2669, 0.8723) x8

Output
As for the total energy: -0.145 Ha/atom. The density is 5.174 Mg/m³.

Record 3
A plane-wave DFT calculation with GGA-PBE was carried out for a relaxed structure of HoNb2Ge2Sb.

Unit cell a=4.0629 b=4.0629 c=7.8757 alpha=90.00 beta=90.00 gamma=90.00
Space group P4mm (No. 99)
Asymmetric unit:
Ho (0.0000, 0.0000, 0.0000) x1
Nb (0.0000, 0.5000, 0.6477) x2
Ge (0.0000, 0.0000, 0.3900) x1
Ge (0.5000, 0.5000, 0.8900) x1
Sb (0.5000, 0.5000, 0.3525) x1

Output
As for the total energy: -0.245 Ha/atom. The calculation puts the total magnetic moment at 0.010 μB/cell. The density is 7.891 Mg/m³.

Record 4
A plane-wave DFT calculation with GGA-PBE was carried out for a relaxed structure of NaCd2Pt2.

Unit cell a=8.0635 b=8.0635 c=2.9938 alpha=90.00 beta=90.00 gamma=90.00
Space group P4/mbm (No. 127)
Asymmetric unit:
Na (0.0000, 0.0000, 0.0000) x2
Cd (0.1679, 0.3321, 0.5000) x4
Pt (0.1288, 0.6288, 0.0000) x4

Output
As for the total energy: -0.124 Ha/atom. The calculation puts the total magnetic moment at 0.030 μB/cell. The density is 10.884 Mg/m³.

Record 5
A plane-wave DFT calculation with GGA-PBE was carried out for a relaxed structure of Sr2As3Pd6.

Unit cell a=7.5328 b=7.5328 c=4.4211 alpha=90.00 beta=90.00 gamma=120.00
Space group P-62m (No. 189)
Asymmetric unit:
Sr (0.3333, 0.6667, 0.0000) x2
As (0.0000, 0.6346, 0.5000) x3
Pd (0.0000, 0.2948, 0.5000) x3
Pd (0.0000, 0.7911, 0.0000) x3

Output
As for the total energy: -0.188 Ha/atom. The density is 7.938 Mg/m³.

Record 6
A plane-wave DFT calculation with GGA-PBE was carried out for a relaxed structure of CuSn2W.

Unit cell a=6.7420 b=6.7420 c=6.7420 alpha=90.00 beta=90.00 gamma=90.00
Space group F-43m (No. 216)
Asymmetric unit:
Cu (0.0000, 0.0000, 0.0000) x4
Sn (0.0000, 0.0000, 0.5000) x4
Sn (0.2500, 0.2500, 0.2500) x4
W (0.2500, 0.2500, 0.7500) x4

Output
As for the total energy: -0.193 Ha/atom. The calculation puts the total magnetic moment at 0.177 μB/cell. The density is 10.508 Mg/m³.

Record 7
A plane-wave DFT calculation with GGA-PBE was carried out for a relaxed structure of ErInHgTe3.

Unit cell a=12.9109 b=4.5016 c=13.4576 alpha=90.00 beta=90.00 gamma=90.00
Space group Pnma (No. 62)
Asymmetric unit:
Er (0.0300, 0.2500, 0.1872) x4
In (0.1749, 0.2500, 0.4939) x4
Hg (0.2459, 0.7500, 0.3035) x4
Te (0.0272, 0.7500, 0.3490) x4
Te (0.0810, 0.2500, 0.9308) x4
Te (0.2385, 0.7500, 0.6655) x4

Output
The calculation puts the total magnetic moment at 0.001 μB/cell. The density is 7.350 Mg/m³. The calculation puts the distance to the lowest polymorph of the same formula at 55 meV/atom.

Record 8
A plane-wave DFT calculation with GGA-PBE was carried out for a relaxed structure of YAgTe2.

Unit cell a=6.7011 b=6.7011 c=13.3042 alpha=90.00 beta=90.00 gamma=90.00
Space group I-42d (No. 122)
Asymmetric unit:
Y (0.0000, 0.0000, 0.0000) x4
Ag (0.0000, 0.0000, 0.5000) x4
Te (0.2341, 0.7500, 0.6250) x8

Output
As for the total energy: -0.171 Ha/atom. The calculation puts the total magnetic moment at 0.004 μB/cell. The density is 5.025 Mg/m³.

Record 9
A plane-wave DFT calculation with GGA-PBE was carried out for a relaxed structure of PmSmEr.

Unit cell a=7.7174 b=7.7174 c=7.7174 alpha=90.00 beta=90.00 gamma=90.00
Space group F-43m (No. 216)
Asymmetric unit:
Pm (0.0000, 0.0000, 0.0000) x4
Sm (0.0000, 0.0000, 0.5000) x4
Er (0.2500, 0.2500, 0.2500) x4

Output
The calculation puts the total magnetic moment at 0.031 μB/cell. The density is 6.685 Mg/m³. The formation energy comes out at 0.70 eV per atom. The calculation puts the distance to the lowest polymorph of the same formula at 0 meV/atom.

Record 10
A plane-wave DFT calculation with GGA-PBE was carried out for a relaxed structure of Cu2B2Pd.

Unit cell a=3.4149 b=3.4149 c=8.8898 alpha=90.00 beta=90.00 gamma=90.00
Space group I4/mmm (No. 139)
Asymmetric unit:
Cu (0.0000, 0.5000, 0.2500) x4
B (0.0000, 0.0000, 0.0924) x4
Pd (0.0000, 0.0000, 0.5000) x2

Output
The density is 8.173 Mg/m³. The calculation puts the distance to the lowest polymorph of the same formula at 0 meV/atom.